[1]
Here is a geometry-optimized Mn2TlCdSi structure from Alexandria. Energies are from GGA-PBE.

Values from the calculation:
Its magnetic moment is 8.354 μB per cell. The value obtained for the uncorrected formation energy is 1.242 eV per atom. For the density, the calculation gives 5.52 g/cm3.

a b c (Å): 5.158 5.158 5.142
angles (deg): 90.00 90.00 90.00
Space group P4/mmm (No. 123)
One atom of each set of equivalent atoms:
Mn1 0.000 0.500 0.000 [2 per cell]
Tl1 0.000 0.000 0.000 [1 per cell]
Cd1 0.500 0.500 0.500 [1 per cell]
Si1 0.000 0.000 0.500 [1 per cell]

***

[2]
Here is a geometry-optimized B5C7 structure from Alexandria. Energies are from GGA-PBE.

Values from the calculation:
Its magnetic moment is 0.000 μB per cell. As for the formation energy: 3.79 eV/f.u. For the density, the calculation gives 2.87 g/cm3.

a b c (Å): 4.638 2.640 6.536
angles (deg): 90.00 90.12 90.00
Space group Pm (No. 6)
One atom of each set of equivalent atoms:
B1 0.000 0.000 0.000 [1 per cell]
B2 0.003 0.000 0.352 [1 per cell]
B3 0.165 0.500 0.723 [1 per cell]
B4 0.508 0.500 0.303 [1 per cell]
B5 0.669 0.000 0.721 [1 per cell]
C1 0.180 0.500 0.976 [1 per cell]
C2 0.337 0.000 0.398 [1 per cell]
C3 0.337 0.000 0.623 [1 per cell]
C4 0.498 0.500 0.042 [1 per cell]
C5 0.658 0.000 0.981 [1 per cell]
C6 0.830 0.500 0.397 [1 per cell]
C7 0.834 0.500 0.625 [1 per cell]

***

[3]
Here is a geometry-optimized TbPmY2Se6 structure from Alexandria. Energies are from GGA-PBE.

Values from the calculation:
Its magnetic moment is 0.000 μB per cell. The value obtained for the uncorrected formation energy is -1.857 eV per atom. For the density, the calculation gives 5.31 g/cm3.

a b c (Å): 7.2768 7.2768 19.5462
angles (deg): 90.00 90.00 120.00
Space group R3 (No. 146, hexagonal axes)
One atom of each set of equivalent atoms:
Tb1 0.0000 0.0000 0.0000 [3 per cell]
Pm1 0.0000 0.0000 0.5029 [3 per cell]
Y1 0.0000 0.0000 0.3045 [3 per cell]
Y2 0.0000 0.0000 0.8026 [3 per cell]
Se1 0.0033 0.3077 0.4004 [9 per cell]
Se2 0.0125 0.7059 0.9008 [9 per cell]

***

[4]
Here is a geometry-optimized LiRuO4 structure from Alexandria. Energies are from GGA-PBE.

Values from the calculation:
Its magnetic moment is 0.076 μB per cell. The value obtained for the uncorrected formation energy is -0.897 eV per atom. For the density, the calculation gives 4.26 g/cm3.

a b c (Å): 6.571 6.772 3.017
angles (deg): 90.00 90.00 90.00
Space group Cmmm (No. 65)
One atom of each set of equivalent atoms:
Li1 0.000 0.000 0.000 [2 per cell]
Ru1 0.000 0.500 0.500 [2 per cell]
O1 0.000 0.314 0.000 [4 per cell]
O2 0.226 0.000 0.500 [4 per cell]

***

[5]
Here is a geometry-optimized KCaTa2 structure from Alexandria. Energies are from GGA-PBE.

Values from the calculation:
Its magnetic moment is 0.000 μB per cell. As for the formation energy: 2.44 eV/f.u. For the density, the calculation gives 5.98 g/cm3.

a b c (Å): 3.555 3.555 9.695
angles (deg): 90.00 90.00 90.00
Space group P4mm (No. 99)
One atom of each set of equivalent atoms:
K1 0.000 0.000 0.000 [1 per cell]
Ca1 0.500 0.500 0.622 [1 per cell]
Ta1 0.000 0.000 0.398 [1 per cell]
Ta2 0.500 0.500 0.290 [1 per cell]

***

[6]
Here is a geometry-optimized Sm6P2HS3 structure from Alexandria. Energies are from GGA-PBE.

Values from the calculation:
Its magnetic moment is 0.000 μB per cell. Its total energy is -6.1735 eV per atom. For the density, the calculation gives 6.45 g/cm3.

a b c (Å): 17.448 4.042 7.987
angles (deg): 90.00 103.90 90.00
Space group C2/m (No. 12)
One atom of each set of equivalent atoms:
Sm1 0.001 0.000 0.245 [4 per cell]
Sm2 0.168 0.500 0.587 [4 per cell]
Sm3 0.169 0.500 0.080 [4 per cell]
P1 0.164 0.000 0.828 [4 per cell]
H1 0.000 0.500 0.500 [2 per cell]
S1 0.000 0.500 0.000 [2 per cell]
S2 0.168 0.000 0.334 [4 per cell]

***

[7]
Here is a geometry-optimized Hf2CrCdN structure from Alexandria. Energies are from GGA-PBE.

Values from the calculation:
Its magnetic moment is 4.510 μB per cell. The value obtained for the uncorrected formation energy is 2.328 eV per atom. For the density, the calculation gives 6.95 g/cm3.

a b c (Å): 5.162 5.162 4.803
angles (deg): 90.00 90.00 90.00
Space group P4/mmm (No. 123)
One atom of each set of equivalent atoms:
Hf1 0.000 0.500 0.000 [2 per cell]
Cr1 0.000 0.000 0.500 [1 per cell]
Cd1 0.000 0.000 0.000 [1 per cell]
N1 0.500 0.500 0.500 [1 per cell]

***

[8]
Here is a geometry-optimized Dy2YHoTm5 structure from Alexandria. Energies are from GGA-PBE.

Values from the calculation:
Its magnetic moment is 0.000 μB per cell. As for the formation energy: 2.68 eV/f.u. For the density, the calculation gives 8.39 g/cm3.

a b c (Å): 8.763 8.763 14.674
angles (deg): 90.00 90.00 90.00
Space group I4/mcm (No. 140)
One atom of each set of equivalent atoms:
Dy1 0.114 0.386 0.000 [8 per cell]
Y1 0.000 0.000 0.250 [4 per cell]
Ho1 0.000 0.500 0.250 [4 per cell]
Tm1 0.000 0.000 0.000 [4 per cell]
Tm2 0.206 0.294 0.366 [16 per cell]

***

[9]
Here is a geometry-optimized BaTbTl2 structure from Alexandria. Energies are from GGA-PBE.

Values from the calculation:
Its magnetic moment is 0.000 μB per cell. As for the formation energy: -1.49 eV/f.u. For the density, the calculation gives 8.89 g/cm3.

a b c (Å): 3.997 3.997 8.241
angles (deg): 90.00 90.00 90.00
Space group P4/mmm (No. 123)
One atom of each set of equivalent atoms:
Ba1 0.000 0.000 0.000 [1 per cell]
Tb1 0.000 0.000 0.500 [1 per cell]
Tl1 0.500 0.500 0.291 [2 per cell]

***

[10]
Here is a geometry-optimized Ce9InSn2 structure from Alexandria. Energies are from GGA-PBE.

Values from the calculation:
Its magnetic moment is 8.104 μB per cell. As for the formation energy: -4.05 eV/f.u. For the density, the calculation gives 8.13 g/cm3.

a b c (Å): 4.791 4.791 14.363
angles (deg): 90.00 90.00 90.00
Space group P4/mmm (No. 123)
One atom of each set of equivalent atoms:
Ce1 0.000 0.000 0.000 [1 per cell]
Ce2 0.000 0.000 0.332 [2 per cell]
Ce3 0.000 0.500 0.168 [4 per cell]
Ce4 0.000 0.500 0.500 [2 per cell]
In1 0.500 0.500 0.000 [1 per cell]
Sn1 0.500 0.500 0.334 [2 per cell]

***

[11]
Here is a geometry-optimized LiIn3Bi structure from Alexandria. Energies are from GGA-PBE.

Values from the calculation:
Its magnetic moment is 0.000 μB per cell. As for the formation energy: -0.44 eV/f.u. For the density, the calculation gives 7.11 g/cm3.

a b c (Å): 5.505 6.341 7.649
angles (deg): 90.00 101.38 90.00
Space group P2_1/m (No. 11)
One atom of each set of equivalent atoms:
Li1 0.229 0.250 0.069 [2 per cell]
In1 0.100 0.502 0.714 [4 per cell]
In2 0.455 0.250 0.460 [2 per cell]
Bi1 0.327 0.750 0.112 [2 per cell]

***

[12]
Here is a geometry-optimized YZr2Re structure from Alexandria. Energies are from GGA-PBE.

Values from the calculation:
Its magnetic moment is 0.000 μB per cell. As for the formation energy: -0.11 eV/f.u. For the density, the calculation gives 8.41 g/cm3.

a b c (Å): 11.388 3.439 5.175
angles (deg): 90.00 116.93 90.00
Space group C2/m (No. 12)
One atom of each set of equivalent atoms:
Y1 0.000 0.000 0.000 [2 per cell]
Zr1 0.209 0.000 0.709 [4 per cell]
Re1 0.000 0.500 0.500 [2 per cell]

***

[13]
Here is a geometry-optimized Cd6Ag12Bi structure from Alexandria. Energies are from GGA-PBE.

Values from the calculation:
Its magnetic moment is 0.000 μB per cell. As for the formation energy: 2.43 eV/f.u. For the density, the calculation gives 8.82 g/cm3.

a b c (Å): 12.4887 12.4887 9.1076
angles (deg): 90.00 90.00 120.00
Space group R-3m (No. 166, hexagonal axes)
One atom of each set of equivalent atoms:
Cd1 0.0713 0.5357 0.2324 [18 per cell]
Ag1 0.0000 0.3880 0.5000 [18 per cell]
Ag2 0.0815 0.1630 0.2650 [18 per cell]
Bi1 0.0000 0.0000 0.0000 [3 per cell]

***

[14]
Here is a geometry-optimized K2RePt structure from Alexandria. Energies are from GGA-PBE.

Values from the calculation:
Its magnetic moment is 19.792 μB per cell. As for the formation energy: 6.58 eV/f.u. For the density, the calculation gives 6.57 g/cm3.

a b c (Å): 7.743 7.743 7.743
angles (deg): 90.00 90.00 90.00
Space group Fm-3m (No. 225)
One atom of each set of equivalent atoms:
K1 0.250 0.250 0.250 [8 per cell]
Re1 0.000 0.000 0.000 [4 per cell]
Pt1 0.000 0.000 0.500 [4 per cell]

***

[15]
Here is a geometry-optimized TaCrW structure from Alexandria. Energies are from GGA-PBE.

Values from the calculation:
Its magnetic moment is 0.000 μB per cell. As for the formation energy: -0.07 eV/f.u. For the density, the calculation gives 15.08 g/cm3.

a b c (Å): 4.397 9.442 4.420
angles (deg): 90.00 90.00 90.00
Space group Cmcm (No. 63)
One atom of each set of equivalent atoms:
Ta1 0.000 0.092 0.250 [4 per cell]
Cr1 0.000 0.249 0.750 [4 per cell]
W1 0.000 0.411 0.250 [4 per cell]

***

[16]
Here is a geometry-optimized CaEuSnPb structure from Alexandria. Energies are from GGA-PBE.

Values from the calculation:
Its magnetic moment is 27.598 μB per cell. As for the formation energy: -2.25 eV/f.u. For the density, the calculation gives 7.04 g/cm3.

a b c (Å): 7.876 7.876 7.876
angles (deg): 90.00 90.00 90.00
Space group F-43m (No. 216)
One atom of each set of equivalent atoms:
Ca1 0.000 0.000 0.000 [4 per cell]
Eu1 0.000 0.000 0.500 [4 per cell]
Sn1 0.250 0.250 0.250 [4 per cell]
Pb1 0.250 0.250 0.750 [4 per cell]

***

[17]
Here is a geometry-optimized PrNiPd structure from Alexandria. Energies are from GGA-PBE.

Values from the calculation:
Its magnetic moment is 0.000 μB per cell. As for the formation energy: -1.48 eV/f.u. For the density, the calculation gives 8.13 g/cm3.

a b c (Å): 4.243 7.557 7.793
angles (deg): 90.00 90.00 90.00
Space group Immm (No. 71)
One atom of each set of equivalent atoms:
Pr1 0.000 0.000 0.249 [4 per cell]
Ni1 0.000 0.348 0.500 [4 per cell]
Pd1 0.000 0.323 0.000 [4 per cell]

***

[18]
Here is a geometry-optimized ZnTc4Te structure from Alexandria. Energies are from GGA-PBE.

Values from the calculation:
Its magnetic moment is 0.000 μB per cell. The value obtained for the uncorrected formation energy is 0.534 eV per atom. For the density, the calculation gives 9.57 g/cm3.

a b c (Å): 7.405 7.405 7.405
angles (deg): 90.00 90.00 90.00
Space group F-43m (No. 216)
One atom of each set of equivalent atoms:
Zn1 0.000 0.000 0.000 [4 per cell]
Tc1 0.125 0.125 0.625 [16 per cell]
Te1 0.250 0.250 0.250 [4 per cell]

***

[19]
Here is a geometry-optimized AcCeO2 structure from Alexandria. Energies are from GGA-PBE.

Values from the calculation:
Its magnetic moment is 3.575 μB per cell. The value obtained for the uncorrected formation energy is -2.701 eV per atom. For the density, the calculation gives 7.03 g/cm3.

a b c (Å): 4.0488 4.0488 19.9296
angles (deg): 90.00 90.00 120.00
Space group R-3m (No. 166, hexagonal axes)
One atom of each set of equivalent atoms:
Ac1 0.0000 0.0000 0.0000 [3 per cell]
Ce1 0.0000 0.0000 0.5000 [3 per cell]
O1 0.0000 0.0000 0.3885 [6 per cell]

***

[20]
Here is a geometry-optimized Al2IrPb structure from Alexandria. Energies are from GGA-PBE.

Values from the calculation:
Its magnetic moment is 0.000 μB per cell. As for the formation energy: -0.49 eV/f.u. For the density, the calculation gives 9.07 g/cm3.

a b c (Å): 8.507 3.422 5.795
angles (deg): 90.00 100.37 90.00
Space group Cm (No. 8)
One atom of each set of equivalent atoms:
Al1 0.000 0.000 0.000 [2 per cell]
Al2 0.240 0.000 0.755 [2 per cell]
Ir1 0.022 0.500 0.697 [2 per cell]
Pb1 0.286 0.500 0.340 [2 per cell]